No. 1
DFT (PBE) results for a relaxed structure of PmPr4Er3.

energy: -37.34 eV per cell
energy relative to the lowest polymorph listed for this composition: 9 meV per atom
theoretical density: 7.43 g/cm3
DFT formation energy: 0.0276 eV/atom

a b c (Å): 12.3443 12.3443 6.3051
angles (deg): 104.79 104.79 16.95
Closest atoms and distances in Å follow each position.
Element x y z (fractional)
Pm (0.0000, 0.0000, 0.0000)  6 Pr 3.62-3.65, 2 Pm 3.64, 4 Er 3.64
Pr (0.1253, 0.1253, 0.7932)  5 Er 3.60-3.63, 1 Pm 3.62, 6 Pr 3.63-3.65
Pr (0.3736, 0.3736, 0.7070)  4 Er 3.58-3.65, 6 Pr 3.63-3.65, 2 Pm 3.65
Pr (0.6264, 0.6264, 0.2930)  4 Er 3.58-3.65, 6 Pr 3.63-3.65, 2 Pm 3.65
Pr (0.8747, 0.8747, 0.2068)  5 Er 3.60-3.63, 1 Pm 3.62, 6 Pr 3.63-3.65
Er (0.2507, 0.2507, 0.2501)  6 Pr 3.58-3.62, 6 Er 3.63-3.65
Er (0.5000, 0.5000, 0.5000)  6 Pr 3.63-3.65, 2 Er 3.64, 4 Pm 3.64
Er (0.7492, 0.7492, 0.7499)  6 Pr 3.58-3.62, 6 Er 3.63-3.65

No. 2
DFT (PBE) results for a relaxed structure of PmDy2ScTl4.

energy: -32.29 eV per cell
theoretical density: 10.27 g/cm3
DFT formation energy: -0.3178 eV/atom

a b c (Å): 9.2894 9.2894 9.2894
angles (deg): 33.33 33.33 33.33
Closest atoms and distances in Å follow each position.
Element x y z (fractional)
Pm (0.0000, 0.0000, 0.0000)  8 Tl 3.29-3.35
Dy (0.2483, 0.2483, 0.2483)  8 Tl 3.18-3.41
Dy (0.7517, 0.7517, 0.7517)  8 Tl 3.18-3.41
Sc (0.5000, 0.5000, 0.5000)  8 Tl 3.21-3.24
Tl (0.1274, 0.1274, 0.1274)  4 Dy 3.18-3.27, 3 Sc 3.24, 1 Pm 3.35
Tl (0.3779, 0.3779, 0.3779)  1 Sc 3.21, 4 Dy 3.25-3.41, 3 Pm 3.29
Tl (0.6221, 0.6221, 0.6221)  1 Sc 3.21, 4 Dy 3.25-3.41, 3 Pm 3.29
Tl (0.8726, 0.8726, 0.8726)  4 Dy 3.18-3.27, 3 Sc 3.24, 1 Pm 3.35

No. 3
DFT (PBE) results for a relaxed structure of LiBeSb2.

energy: -13.51 eV per cell
theoretical density: 4.82 g/cm3

a b c (Å): 3.0250 3.7824 7.8137
angles (deg): 90.00 90.00 90.00
Closest atoms and distances in Å follow each position.
Element x y z (fractional)
Li (0.0000, 0.0000, 0.0000)  5 Sb 2.68-2.78, 4 Be 2.73
Be (0.5000, 0.5000, 0.8394)  5 Sb 2.63-2.81, 4 Li 2.73
Sb (0.0000, 0.0000, 0.6574)  1 Li 2.68, 4 Be 2.81
Sb (0.5000, 0.5000, 0.1754)  1 Be 2.63, 4 Li 2.78

No. 4
DFT (PBE) results for a relaxed structure of Ca4TbTa3N8.

energy: -135.17 eV per cell
theoretical density: 7.84 g/cm3

a b c (Å): 6.7346 6.7346 6.7346
angles (deg): 58.03 58.03 58.03
Closest atoms and distances in Å follow each position.
Element x y z (fractional)
Ca (0.0000, 0.0000, 0.0000)  6 N 2.38
Ca (0.0000, 0.5000, 0.5000)  6 N 2.47-2.53
Ca (0.5000, 0.0000, 0.5000)  6 N 2.47-2.53
Ca (0.5000, 0.5000, 0.0000)  6 N 2.47-2.53
Tb (0.5000, 0.5000, 0.5000)  6 N 2.33
Ta (0.0000, 0.0000, 0.5000)  6 N 2.18-2.23
Ta (0.0000, 0.5000, 0.0000)  6 N 2.18-2.23
Ta (0.5000, 0.0000, 0.0000)  6 N 2.18-2.23
N (0.2154, 0.7485, 0.7485)  2 Ta 2.18, 1 Tb 2.33, 1 Ca 2.38
N (0.2378, 0.2378, 0.2378)  3 Ta 2.23, 3 Ca 2.47
N (0.2515, 0.2515, 0.7846)  2 Ta 2.18, 1 Tb 2.33, 1 Ca 2.38
N (0.2515, 0.7846, 0.2515)  2 Ta 2.18, 1 Tb 2.33, 1 Ca 2.38
N (0.7485, 0.2154, 0.7485)  2 Ta 2.18, 1 Tb 2.33, 1 Ca 2.38
N (0.7485, 0.7485, 0.2154)  2 Ta 2.18, 1 Tb 2.33, 1 Ca 2.38
N (0.7622, 0.7622, 0.7622)  3 Ta 2.23, 3 Ca 2.47
N (0.7846, 0.2515, 0.2515)  2 Ta 2.18, 1 Tb 2.33, 1 Ca 2.38